# Ni2MoOs

An optimized crystal structure of Ni2MoOs (GGA-PBE, Alexandria via LeMat-Bulk).

a = 4.598 Å, b = 4.598 Å, c = 2.627 Å
α = 90.00°, β = 90.00°, γ = 110.71°
Element x y z (fractional)
Mo 0.000 0.500 0.500
Ni 0.000 0.000 0.000
Ni 0.500 0.500 0.000
Os 0.500 0.000 0.500

Calculated values
Its energy relative to the lowest polymorph listed for this composition is 0.44 eV per formula unit. The value obtained for the calculated formation energy is 0.096 eV per atom.